# 1
The following is a DFT calculation (PBE) of a relaxed Nd4Y3Tm crystal.

Calculated values
The calculation puts the calculated formation energy at 1.31 eV per formula unit. The density of states at the Fermi level comes out at 27.92 states/eV per cell.

Geometry as CIF:
```
data_Nd4Y3Tm
_cell_length_a 23.7190
_cell_length_b 3.5000
_cell_length_c 6.8347
_cell_angle_alpha 90.00
_cell_angle_beta 106.43
_cell_angle_gamma 90.00
_space_group_name_H-M_alt 'C 1 2/m 1'
_space_group_IT_number 12
_space_group_name_Hall '-C 2y'
loop_
_atom_site_label
_atom_site_type_symbol
_atom_site_fract_x
_atom_site_fract_y
_atom_site_fract_z
Nd1 Nd 0.1234 0.0000 0.3683
Nd2 Nd 0.2405 0.5000 0.2371
Y1 Y 0.0000 0.0000 0.5000
Y2 Y 0.1221 0.0000 0.8821
Tm1 Tm 0.0000 0.5000 0.0000
```


# 2
The following is a DFT calculation (PBE) of a relaxed HfAlO2F crystal.

Calculated values
The formation energy from raw total energies comes out at -12.00 eV per formula unit.

Geometry as CIF:
```
data_HfAlO2F
_cell_length_a 4.1215
_cell_length_b 4.1215
_cell_length_c 4.2417
_cell_angle_alpha 90.00
_cell_angle_beta 90.00
_cell_angle_gamma 90.00
_space_group_name_H-M_alt 'P 4/m m m'
_space_group_IT_number 123
_space_group_name_Hall '-P 4 2'
loop_
_atom_site_label
_atom_site_type_symbol
_atom_site_fract_x
_atom_site_fract_y
_atom_site_fract_z
Hf1 Hf 0.0000 0.0000 0.0000
Al1 Al 0.5000 0.5000 0.5000
O1 O 0.0000 0.5000 0.0000
F1 F 0.0000 0.0000 0.5000
```